Version w
First-principles (PBE) data for La5In2Ru after structural relaxation, as listed in Alexandria. Values from VASP.

Quantum ESPRESSO input file:
```
&SYSTEM
  ibrav = 0, nat = 16, ntyp = 3
/
ATOMIC_SPECIES
La 138.91 La.upf
In 114.82 In.upf
Ru 101.07 Ru.upf
ATOMIC_POSITIONS crystal
La 0.9374 0.8748 0.8989
La 0.7117 0.4234 0.5792
In 0.1335 0.2671 0.8648
La 0.0626 0.1252 0.3989
In 0.1335 0.2671 0.6352
In 0.8665 0.7329 0.1352
La 0.6877 0.3754 0.2500
La 0.9374 0.8748 0.6011
La 0.7117 0.4234 0.9208
Ru 0.1731 0.3462 0.2500
La 0.2883 0.5766 0.0792
La 0.3123 0.6246 0.7500
La 0.0626 0.1252 0.1011
La 0.2883 0.5766 0.4208
Ru 0.8269 0.6538 0.7500
In 0.8665 0.7329 0.3648
CELL_PARAMETERS angstrom
-0.1303 4.0947 4.2542
-7.8879 -4.2933 -0.2090
4.3770 -8.4439 8.2614
```

Values from the calculation:
density of states at the Fermi level: 19.3 states/eV per cell
SG: No. 63

=====

Version x
First-principles (PBE) data for La5In2Ru after structural relaxation, as listed in Alexandria. Values from VASP.

Quantum ESPRESSO input file:
```
&SYSTEM
  ibrav = 0, nat = 16, ntyp = 3
/
ATOMIC_SPECIES
In 114.82 In.upf
La 138.91 La.upf
Ru 101.07 Ru.upf
ATOMIC_POSITIONS crystal
In 0.5000 0.9225 0.6680
La 0.0000 0.8666 0.1984
La 0.0000 0.3666 0.3016
La 0.5000 0.8154 0.9313
In 0.5000 0.0775 0.3320
La 0.0000 0.6334 0.6984
La 0.0000 0.1334 0.8016
La 0.0000 0.0000 0.5000
In 0.5000 0.4225 0.8320
La 0.5000 0.1846 0.0687
In 0.5000 0.5775 0.1680
La 0.5000 0.3154 0.5687
Ru 0.0000 0.5000 0.5000
La 0.0000 0.5000 0.0000
Ru 0.0000 0.0000 0.0000
La 0.5000 0.6846 0.4313
CELL_PARAMETERS angstrom
-1.2397 -4.7555 -0.0762
7.9862 -2.0814 -0.0287
-0.0069 -0.2000 12.5908
```

Values from the calculation:
density of states at the Fermi level: 17.5 states/eV per cell
SG: No. 55

=====

Most stable: version x (next structure +304 meV per atom)